## Al2VSiPt (PBE-GGA)

Data for a geometry-optimized Al2VSiPt structure.

Cell: 4.529 4.361 4.529 Å, 90.00 90.00 90.00°
Positions (direct):
Si: 0.000 0.000 0.000
Al: 0.000 0.000 0.500
Al: 0.500 0.000 0.000
Pt: 0.500 0.500 0.500
V: 0.000 0.500 0.000

Properties
- E_tot (eV per atom) = -5.017
- D(E_F) (states/eV/cell) = 4.54
- M_tot (μB/cell) = 0.0